Record 1
DFT (PBE) results for a relaxed SrPOsO2 crystal.

Cell: 4.063 4.063 4.713 Å, 90.00 90.00 90.00°
Positions (direct):
Sr1 0.000 0.000 0.000
P1 0.500 0.500 0.000
Os1 0.500 0.500 0.500
O1 0.000 0.500 0.500
O2 0.500 0.000 0.500

Density of states at the Fermi level   1.0866 states/eV per atom
Calculated total energy   -6.47 eV/atom
Formation energy (no corrections)   -0.827 eV/atom
ΔE to the lowest computed polymorph   0.0000 eV per atom
Spin magnetization   0.09 μB/f.u.

***

Record 2
DFT (PBE) results for a relaxed TaPOsO2 crystal.

Cell: 3.633 3.633 7.809 Å, 90.00 90.00 90.00°
Positions (direct):
Ta1 0.000 0.000 0.000
P1 0.500 0.500 0.000
Os1 0.500 0.500 0.500
O1 0.000 0.500 0.500
O2 0.500 0.000 0.500

Density of states at the Fermi level   0.3734 states/eV per atom
Calculated total energy   -7.78 eV/atom
Formation energy (no corrections)   -0.099 eV/atom
ΔE to the lowest computed polymorph   0.5027 eV per atom
Spin magnetization   1.51 μB/f.u.

***

Record 3
DFT (PBE) results for a relaxed TaPOsO2 crystal.

Cell: 3.800 3.800 5.493 Å, 90.00 90.00 90.00°
Positions (direct):
Ta1 0.000 0.000 0.000
P1 0.000 0.000 0.500
Os1 0.500 0.500 0.500
O1 0.000 0.500 0.000
O2 0.500 0.000 0.000

Density of states at the Fermi level   0.6190 states/eV per atom
Calculated total energy   -8.28 eV/atom
Formation energy (no corrections)   -0.601 eV/atom
ΔE to the lowest computed polymorph   0.0000 eV per atom
Spin magnetization   2.63 μB/f.u.

***

Record 4
DFT (PBE) results for a relaxed Te2POsO crystal.

Cell: 5.158 5.158 3.307 Å, 90.00 90.00 90.00°
Positions (direct):
Te1 0.000 0.500 0.000
Te2 0.500 0.000 0.000
P1 0.000 0.000 0.000
Os1 0.500 0.500 0.500
O1 0.000 0.000 0.500

Density of states at the Fermi level   0.5995 states/eV per atom
Calculated total energy   -5.20 eV/atom
Formation energy (no corrections)   0.378 eV/atom
Spin magnetization   0.00 μB/f.u.

***

Record 5
DFT (PBE) results for a relaxed TeP2OsO crystal.

Cell: 4.939 4.939 3.734 Å, 90.00 90.00 90.00°
Positions (direct):
Te1 0.000 0.000 0.000
P1 0.000 0.500 0.000
P2 0.500 0.000 0.000
Os1 0.500 0.500 0.500
O1 0.000 0.000 0.500

Density of states at the Fermi level   1.0890 states/eV per atom
Calculated total energy   -4.71 eV/atom
Formation energy (no corrections)   1.324 eV/atom
ΔE to the lowest computed polymorph   1.2525 eV per atom
Spin magnetization   0.21 μB/f.u.

***

Record 6
DFT (PBE) results for a relaxed TeP2OsO crystal.

Cell: 4.831 4.831 3.741 Å, 90.00 90.00 90.00°
Positions (direct):
Te1 0.000 0.000 0.000
P1 0.000 0.500 0.500
P2 0.500 0.000 0.500
Os1 0.500 0.500 0.500
O1 0.500 0.500 0.000

Density of states at the Fermi level   0.5892 states/eV per atom
Calculated total energy   -5.96 eV/atom
Formation energy (no corrections)   0.071 eV/atom
ΔE to the lowest computed polymorph   0.0000 eV per atom
Spin magnetization   0.00 μB/f.u.

***

Record 7
DFT (PBE) results for a relaxed TiP2OsO crystal.

Cell: 4.795 4.795 3.627 Å, 90.00 90.00 90.00°
Positions (direct):
Ti1 0.000 0.000 0.000
P1 0.000 0.500 0.500
P2 0.500 0.000 0.500
Os1 0.500 0.500 0.500
O1 0.500 0.500 0.000

Density of states at the Fermi level   1.1675 states/eV per atom
Calculated total energy   -6.91 eV/atom
Formation energy (no corrections)   0.073 eV/atom
ΔE to the lowest computed polymorph   0.0000 eV per atom
Spin magnetization   0.00 μB/f.u.

***

Record 8
DFT (PBE) results for a relaxed TiP2OsO crystal.

Cell: 4.800 4.800 3.544 Å, 90.00 90.00 90.00°
Positions (direct):
Ti1 0.000 0.000 0.000
P1 0.000 0.500 0.000
P2 0.500 0.000 0.000
Os1 0.500 0.500 0.500
O1 0.000 0.000 0.500

Density of states at the Fermi level   0.7294 states/eV per atom
Calculated total energy   -6.78 eV/atom
Formation energy (no corrections)   0.196 eV/atom
ΔE to the lowest computed polymorph   0.1228 eV per atom
Spin magnetization   1.44 μB/f.u.

***

Record 9
DFT (PBE) results for a relaxed Tl2POsO6 crystal.

Cell: 5.038 5.038 6.765 Å, 111.51 111.49 90.00°
Positions (direct):
Tl1 0.249 0.250 0.000
Tl2 0.751 0.750 0.000
P1 0.000 0.500 0.500
Os1 0.500 0.000 0.500
O1 0.149 0.208 0.498
O2 0.293 0.652 0.504
O3 0.342 0.838 0.180
O4 0.658 0.162 0.820
O5 0.707 0.348 0.496
O6 0.851 0.792 0.502

Density of states at the Fermi level   0.3523 states/eV per atom
Calculated total energy   -6.03 eV/atom
Formation energy (no corrections)   -0.919 eV/atom
Spin magnetization   0.00 μB/f.u.

***

Record 10
DFT (PBE) results for a relaxed TlP2OsO8 crystal.

Cell: 4.919 4.919 8.544 Å, 93.35 93.35 64.33°
Positions (direct):
Tl1 0.000 0.000 0.000
P1 0.365 0.365 0.692
P2 0.635 0.635 0.308
Os1 0.000 0.000 0.500
O1 0.231 0.231 0.554
O2 0.234 0.714 0.664
O3 0.286 0.766 0.336
O4 0.312 0.312 0.855
O5 0.688 0.688 0.145
O6 0.714 0.234 0.664
O7 0.766 0.286 0.336
O8 0.769 0.769 0.446

Density of states at the Fermi level   0.1825 states/eV per atom
Calculated total energy   -6.97 eV/atom
Formation energy (no corrections)   -1.631 eV/atom
Spin magnetization   2.93 μB/f.u.

***

Record 11
DFT (PBE) results for a relaxed TlPOsO2 crystal.

Cell: 3.883 3.883 6.698 Å, 90.00 90.00 90.00°
Positions (direct):
Tl1 0.000 0.000 0.000
P1 0.000 0.000 0.500
Os1 0.500 0.500 0.500
O1 0.000 0.500 0.000
O2 0.500 0.000 0.000

Density of states at the Fermi level   0.9492 states/eV per atom
Calculated total energy   -4.51 eV/atom
Formation energy (no corrections)   1.279 eV/atom
ΔE to the lowest computed polymorph   1.6457 eV per atom
Spin magnetization   2.30 μB/f.u.

***

Record 12
DFT (PBE) results for a relaxed TlPOsO2 crystal.

Cell: 3.856 3.856 5.258 Å, 90.00 90.00 90.00°
Positions (direct):
Tl1 0.000 0.000 0.000
P1 0.500 0.500 0.000
Os1 0.500 0.500 0.500
O1 0.000 0.500 0.500
O2 0.500 0.000 0.500

Density of states at the Fermi level   0.6312 states/eV per atom
Calculated total energy   -6.15 eV/atom
Formation energy (no corrections)   -0.366 eV/atom
ΔE to the lowest computed polymorph   0.0000 eV per atom
Spin magnetization   0.70 μB/f.u.